# Nd2Sm2HoEr

A geometry-optimized Nd2Sm2HoEr structure (PBE, the Alexandria database).

a b c (Å): 7.063 5.688 9.861
angles (deg): 90.00 90.00 90.00
Space group Pmma (No. 51)
One atom of each set of equivalent atoms:
1 Nd 0.000 0.000 0.000 x2
2 Nd 0.250 0.500 0.177 x2
3 Sm 0.250 0.000 0.332 x2
4 Sm 0.250 0.500 0.837 x2
5 Ho 0.250 0.000 0.659 x2
6 Er 0.000 0.500 0.500 x2

Density of states at the Fermi level (states/eV/cell): 17.90
Calculated total energy (eV per atom): -4.625

---

# Tb3Pm2Pr2

A geometry-optimized Tb3Pm2Pr2 structure (PBE, the Alexandria database).

a b c (Å): 17.042 3.528 8.895
angles (deg): 90.00 116.55 90.00
Space group C2/m (No. 12)
One atom of each set of equivalent atoms:
1 Tb 0.000 0.000 0.000 x2
2 Tb 0.220 0.000 0.145 x4
3 Pm 0.139 0.500 0.407 x4
4 Pr 0.080 0.000 0.705 x4

Density of states at the Fermi level (states/eV/cell): 22.75
Energy above the lowest structure with this stoichiometry (meV per atom): 110

---

# K2NaPtO2

A geometry-optimized K2NaPtO2 structure (PBE, the Alexandria database).

a b c (Å): 5.830 10.676 3.964
angles (deg): 90.00 90.00 90.00
Space group Pnnm (No. 58)
One atom of each set of equivalent atoms:
1 K 0.123 0.240 0.000 x4
2 Na 0.000 0.500 0.500 x2
3 Pt 0.000 0.000 0.500 x2
4 O 0.215 0.599 0.000 x4

Density of states at the Fermi level (states/eV/cell): 10.55
Formation energy without anion corrections (eV/atom): -0.93

---

Please write out number 3 again, unchanged.
# K2NaPtO2

A geometry-optimized K2NaPtO2 structure (PBE, the Alexandria database).

a b c (Å): 5.830 10.676 3.964
angles (deg): 90.00 90.00 90.00
Space group Pnnm (No. 58)
One atom of each set of equivalent atoms:
1 K 0.123 0.240 0.000 x4
2 Na 0.000 0.500 0.500 x2
3 Pt 0.000 0.000 0.500 x2
4 O 0.215 0.599 0.000 x4

Density of states at the Fermi level (states/eV/cell): 10.55
Formation energy without anion corrections (eV/atom): -0.93

---

Repeat the third record exactly.
# K2NaPtO2

A geometry-optimized K2NaPtO2 structure (PBE, the Alexandria database).

a b c (Å): 5.830 10.676 3.964
angles (deg): 90.00 90.00 90.00
Space group Pnnm (No. 58)
One atom of each set of equivalent atoms:
1 K 0.123 0.240 0.000 x4
2 Na 0.000 0.500 0.500 x2
3 Pt 0.000 0.000 0.500 x2
4 O 0.215 0.599 0.000 x4

Density of states at the Fermi level (states/eV/cell): 10.55
Formation energy without anion corrections (eV/atom): -0.93

---

Question: Look up the density of states at the Fermi level of the second one.
Answer: 22.75 states/eV/cell